Compound: CrTcNF2
Source: Alexandria
Functional: PBE+U
Structure: optimized geometry

* DOS at the Fermi energy: 1.40 states/eV/f.u.
* density: 5.23 g cm⁻³
* V: 64.1 Å³ per cell
* energy above the most stable polymorph in this dataset: 233.7 meV/atom
* magnetization: 7.65 μB/f.u.

Unit cell a=3.8104 b=3.8104 c=4.4155 alpha=90.00 beta=90.00 gamma=90.00
Space group P4/mmm (No. 123)
One atom of each set of equivalent atoms:
Cr: 0.0000 0.0000 0.0000 x1
Tc: 0.5000 0.5000 0.5000 x1
N: 0.0000 0.0000 0.5000 x1
F: 0.0000 0.5000 0.0000 x2